Entry 1:
# SiAgPt2 SCAN PBEsol geometry
# - Formation energy without anion corrections: -0.116 eV/atom
# - Space-group type: Pmm2
data_SiAgPt2
_chemical_formula_sum 'Si1 Ag1 Pt2'
_symmetry_space_group_name_H-M 'P 1'
_symmetry_Int_Tables_number 1
_symmetry_space_group_name_Hall 'P 1'
_cell_length_a 2.803
_cell_length_b 3.904
_cell_length_c 5.560
_cell_angle_alpha 90.00
_cell_angle_beta 90.00
_cell_angle_gamma 90.00
loop_
_atom_site_label
_atom_site_fract_x
_atom_site_fract_y
_atom_site_fract_z
Ag1 0.500 0.500 0.765
Pt1 0.000 0.000 0.006
Pt2 0.500 0.500 0.282
Si1 0.000 0.000 0.447

Entry 2:
# Ti2OsPdN SCAN PBEsol geometry
# - Formation energy without anion corrections: 1.541 eV/atom
# - Space-group type: P4/mmm
data_Ti2OsPdN
_chemical_formula_sum 'Ti2 Os1 Pd1 N1'
_symmetry_space_group_name_H-M 'P 1'
_symmetry_Int_Tables_number 1
_symmetry_space_group_name_Hall 'P 1'
_cell_length_a 4.624
_cell_length_b 4.624
_cell_length_c 4.764
_cell_angle_alpha 90.00
_cell_angle_beta 90.00
_cell_angle_gamma 90.00
loop_
_atom_site_label
_atom_site_fract_x
_atom_site_fract_y
_atom_site_fract_z
N1 0.500 0.500 0.500
Os1 0.000 0.000 0.000
Pd1 0.000 0.000 0.500
Ti1 0.000 0.500 0.000
Ti2 0.500 0.000 0.000

Entry 3:
# KB2Rh2 SCAN PBEsol geometry
# - Space-group type: I4/mmm
# - Energy of formation from the pure elements: -0.118 eV per atom
data_KB2Rh2
_chemical_formula_sum 'K1 B2 Rh2'
_symmetry_space_group_name_H-M 'P 1'
_symmetry_Int_Tables_number 1
_symmetry_space_group_name_Hall 'P 1'
_cell_length_a 4.083
_cell_length_b 4.083
_cell_length_c 6.632
_cell_angle_alpha 107.93
_cell_angle_beta 107.93
_cell_angle_gamma 90.00
loop_
_atom_site_label
_atom_site_fract_x
_atom_site_fract_y
_atom_site_fract_z
K1 0.000 0.000 0.000
B1 0.250 0.750 0.500
B2 0.750 0.250 0.500
Rh1 0.256 0.256 0.513
Rh2 0.744 0.744 0.487

| no. | V (Å³ per atom) |
| --- | --- |
| 1 | 15.21 |
| 2 | 20.37 |
| 3 | 19.91 |